Here is a relaxed SmAsH2O4 crystal from Alexandria. Energies are from PBE. Values from VASP.

Properties
- VASP energy (eV per cell) = -48.30

Cell and atoms, written as Quantum ESPRESSO input:
```
&SYSTEM
  ibrav = 0, nat = 8, ntyp = 4
/
ATOMIC_SPECIES
Sm 150.36 Sm.upf
As 74.92 As.upf
H 1.01 H.upf
O 16.00 O.upf
CELL_PARAMETERS angstrom
-2.417 2.766 3.081
2.417 -2.766 3.081
2.417 2.766 -3.081
ATOMIC_POSITIONS angstrom
Sm 0.000 0.000 0.000
As 0.000 0.000 3.081
H 2.417 0.000 1.823
H 0.000 2.766 1.257
O 3.376 -0.770 1.785
O 1.458 0.770 1.785
O -0.959 1.996 1.295
O 0.959 3.536 1.295
```

***

Here is a relaxed SrAsH2O4 crystal from Alexandria. Energies are from PBE. Values from VASP.

Properties
- VASP energy (eV per cell) = -44.01

Cell and atoms, written as Quantum ESPRESSO input:
```
&SYSTEM
  ibrav = 0, nat = 8, ntyp = 4
/
ATOMIC_SPECIES
Sr 87.62 Sr.upf
As 74.92 As.upf
H 1.01 H.upf
O 16.00 O.upf
CELL_PARAMETERS angstrom
-2.285 3.024 3.357
2.285 -3.024 3.357
2.285 3.024 -3.357
ATOMIC_POSITIONS angstrom
Sr 0.000 0.000 0.000
As 0.000 0.000 3.357
H 2.285 0.000 2.229
H 0.000 3.024 1.128
O 1.013 2.314 -1.189
O 1.272 0.710 2.168
O 1.272 -0.710 4.546
O 1.013 3.734 1.189
```

***

Here is a relaxed SrAs2HO6 crystal from Alexandria. Energies are from PBE. Values from VASP.

Properties
- VASP energy (eV per cell) = -117.36

Cell and atoms, written as Quantum ESPRESSO input:
```
&SYSTEM
  ibrav = 0, nat = 20, ntyp = 4
/
ATOMIC_SPECIES
Sr 87.62 Sr.upf
As 74.92 As.upf
H 1.01 H.upf
O 16.00 O.upf
CELL_PARAMETERS angstrom
5.869 -4.363 0.000
5.869 4.363 0.000
-3.430 0.000 5.506
ATOMIC_POSITIONS angstrom
Sr 3.296 3.061 4.129
Sr 5.011 -3.061 1.376
As 2.792 0.501 1.481
As 1.077 -0.501 4.234
As 7.231 0.501 1.272
As 5.516 -0.501 4.025
H 5.011 1.809 1.376
H 3.296 -1.809 4.129
O 1.398 0.649 0.526
O 3.828 1.882 1.712
O -0.317 -0.649 3.279
O 2.107 0.659 3.317
O 6.194 1.882 1.041
O 3.822 -0.659 0.564
O 4.486 0.659 4.942
O 2.113 -1.882 4.464
O 6.201 -0.659 2.189
O 8.624 0.649 2.227
O 4.479 -1.882 3.794
O 6.909 -0.649 4.980
```

***

Here is a relaxed SrAsH3O5 crystal from Alexandria. Energies are from PBE. Values from VASP.

Properties
- VASP energy (eV per cell) = -458.81

Cell and atoms, written as Quantum ESPRESSO input:
```
&SYSTEM
  ibrav = 0, nat = 80, ntyp = 4
/
ATOMIC_SPECIES
Sr 87.62 Sr.upf
As 74.92 As.upf
H 1.01 H.upf
O 16.00 O.upf
CELL_PARAMETERS angstrom
7.609 0.000 0.000
0.000 8.502 0.000
0.000 0.000 14.455
ATOMIC_POSITIONS angstrom
Sr 1.020 1.500 1.201
Sr 1.020 2.751 8.428
Sr 2.785 5.752 1.201
Sr 2.785 7.002 8.428
Sr 4.824 1.500 6.026
Sr 4.824 2.751 13.254
Sr 6.589 5.752 6.026
Sr 6.589 7.002 13.254
As 1.104 0.455 5.589
As 1.104 3.797 12.816
As 2.701 4.706 5.589
As 2.701 8.048 12.816
As 4.908 0.455 1.638
As 4.908 3.797 8.866
As 6.505 4.706 1.638
As 6.505 8.048 8.866
H 0.432 5.719 8.997
H 0.432 7.034 1.770
H 0.788 5.123 10.430
H 0.788 7.631 3.203
H 1.698 6.350 11.654
H 1.698 6.403 4.427
H 2.107 2.099 11.654
H 2.107 2.152 4.427
H 3.016 0.872 10.430
H 3.016 3.380 3.203
H 3.372 1.468 8.997
H 3.372 2.783 1.770
H 4.237 5.719 12.685
H 4.237 7.034 5.457
H 4.593 5.123 11.252
H 4.593 7.631 4.024
H 5.502 6.350 10.028
H 5.502 6.403 2.801
H 5.911 2.099 10.028
H 5.911 2.152 2.801
H 6.821 0.872 11.252
H 6.821 3.380 4.024
H 7.177 1.468 12.685
H 7.177 2.783 5.457
O 0.097 5.625 0.829
O 0.097 7.129 8.057
O 0.568 5.281 12.151
O 0.568 7.473 4.924
O 1.048 5.091 9.468
O 1.048 7.662 2.241
O 1.310 4.595 6.563
O 1.310 8.158 13.791
O 1.528 1.379 4.116
O 1.528 2.872 11.343
O 2.276 5.630 4.116
O 2.276 7.124 11.343
O 2.494 0.344 6.563
O 2.494 3.907 13.791
O 2.757 0.840 9.468
O 2.757 3.411 2.241
O 3.237 1.030 12.151
O 3.237 3.222 4.924
O 3.707 1.374 0.829
O 3.707 2.877 8.057
O 3.902 5.625 6.398
O 3.902 7.129 13.625
O 4.372 5.281 9.531
O 4.372 7.473 2.304
O 4.852 5.091 12.214
O 4.852 7.662 4.987
O 5.115 4.595 0.664
O 5.115 8.158 7.891
O 5.333 1.379 3.111
O 5.333 2.872 10.339
O 6.081 5.630 3.111
O 6.081 7.124 10.339
O 6.299 0.344 0.664
O 6.299 3.907 7.891
O 6.561 0.840 12.214
O 6.561 3.411 4.987
O 7.041 1.030 9.531
O 7.041 3.222 2.304
O 7.512 1.374 6.398
O 7.512 2.877 13.625
```